No. 1
The following is a DFT calculation (PBE) of a geometry-optimized LaNbMo structure.

```
6
Lattice="3.291 0.000 0.000 0.000 3.291 0.000 0.000 0.000 12.290" Properties=species:S:1:pos:R:3 pbc="T T T"
La 0.000 0.000 0.000
La 1.645 1.645 3.203
Nb 0.000 0.000 8.429
Nb 1.645 1.645 10.032
Mo 0.000 0.000 5.342
Mo 1.645 1.645 6.768
```

Computed properties:
N(E_F): 1.49 states/eV per atom
excess energy over the best structure of this formula in the dataset: 0.0 meV/atom
formation enthalpy at 0 K: 19.1 kJ per mole of atoms

No. 2
The following is a DFT calculation (PBE) of a geometry-optimized Li2Th2Sb2S structure.

```
7
Lattice="-2.269 2.269 8.461 2.269 -2.269 8.461 2.269 2.269 -8.461" Properties=species:S:1:pos:R:3 pbc="T T T"
Li 2.269 0.000 0.000
Li 0.000 2.269 0.000
Th 0.000 0.000 2.829
Th 0.000 0.000 14.093
Sb 0.000 0.000 6.097
Sb 0.000 0.000 10.825
S 0.000 0.000 0.000
```

Computed properties:
uncorrected formation energy: -1.041 eV/atom
N(E_F): 0.65 states/eV per atom

No. 3
The following is a DFT calculation (PBE) of a geometry-optimized Pm12ErGe6 structure.

```
19
Lattice="6.841 3.949 3.618 -6.841 3.949 3.618 0.000 -7.899 3.618" Properties=species:S:1:pos:R:3 pbc="T T T"
Pm -2.572 -3.445 3.618
Pm -4.269 -0.505 3.618
Pm 0.000 -2.078 1.623
Pm -1.800 1.039 1.623
Pm 1.800 1.039 1.623
Pm 2.572 -3.445 3.618
Pm -1.697 3.949 3.618
Pm 4.269 -0.505 3.618
Pm 1.697 3.949 3.618
Pm -1.800 -1.039 9.231
Pm 1.800 -1.039 9.231
Pm 0.000 2.078 9.231
Er 0.000 0.000 5.427
Ge -3.793 -2.190 6.144
Ge 0.000 -4.380 4.710
Ge -3.793 2.190 4.710
Ge 3.793 -2.190 6.144
Ge 0.000 4.380 6.144
Ge 3.793 2.190 4.710
```

Computed properties:
N(E_F): 1.31 states/eV per atom
formation enthalpy at 0 K: -37.9 kJ per mole of atoms

Q: The lowest N(E_F) belongs to which entry?
A: Li2Th2Sb2S